The following is a PBE calculation of a geometry-optimized Ho2TlCuS4 structure, from Alexandria.

Unit cell a=3.946 b=13.572 c=13.746 alpha=90.00 beta=90.00 gamma=90.00
Space group Cmcm (No. 63)
Asymmetric unit:
1 Ho 0.000 0.134 0.063 (multiplicity 8)
2 Tl 0.000 0.392 0.250 (multiplicity 4)
3 Cu 0.000 0.334 0.750 (multiplicity 4)
4 S 0.000 0.072 0.250 (multiplicity 4)
5 S 0.000 0.239 0.609 (multiplicity 8)
6 S 0.000 0.500 0.000 (multiplicity 4)

* total magnetic moment: 0.0 Bohr magnetons per cell
* total energy: -5.47 eV/atom
* uncorrected formation energy: -139.92 kJ/mol of atoms


The following is a PBE calculation of a geometry-optimized Ho2TmCuS5 structure, from Alexandria.

Unit cell a=3.802 b=16.530 c=11.385 alpha=90.00 beta=90.00 gamma=90.00
Space group Cmc2_1 (No. 36)
Asymmetric unit:
1 Ho 0.000 0.107 0.000 (multiplicity 4)
2 Ho 0.000 0.121 0.622 (multiplicity 4)
3 Tm 0.000 0.195 0.325 (multiplicity 4)
4 Cu 0.000 0.442 0.772 (multiplicity 4)
5 S 0.000 0.043 0.381 (multiplicity 4)
6 S 0.000 0.289 0.992 (multiplicity 4)
7 S 0.000 0.316 0.660 (multiplicity 4)
8 S 0.000 0.358 0.317 (multiplicity 4)
9 S 0.000 0.497 0.094 (multiplicity 4)

* total magnetic moment: 0.0 Bohr magnetons per cell
* total energy: -5.97 eV/atom
* uncorrected formation energy: -164.76 kJ/mol of atoms


The following is a PBE calculation of a geometry-optimized HoTm4CuS8 structure, from Alexandria.

Unit cell a=7.8232 b=7.8232 c=19.2291 alpha=90.00 beta=90.00 gamma=120.00
Space group R3m (No. 160, hexagonal axes)
Asymmetric unit:
1 Ho 0.0000 0.0000 0.0000 (multiplicity 3)
2 Tm 0.0000 0.0000 0.6205 (multiplicity 3)
3 Tm 0.1732 0.3464 0.8268 (multiplicity 9)
4 Cu 0.0000 0.0000 0.3695 (multiplicity 3)
5 S 0.0000 0.0000 0.2428 (multiplicity 3)
6 S 0.0000 0.0000 0.7542 (multiplicity 3)
7 S 0.0046 0.5023 0.7465 (multiplicity 9)
8 S 0.1778 0.3556 0.5748 (multiplicity 9)

* total magnetic moment: 0.0 Bohr magnetons per cell
* total energy: -6.08 eV/atom
* uncorrected formation energy: -175.66 kJ/mol of atoms


The following is a PBE calculation of a geometry-optimized Ho2UCuS5 structure, from Alexandria.

Unit cell a=3.759 b=17.580 c=11.165 alpha=90.00 beta=90.00 gamma=90.00
Space group Cmc2_1 (No. 36)
Asymmetric unit:
1 Ho 0.000 0.095 0.000 (multiplicity 4)
2 Ho 0.000 0.116 0.626 (multiplicity 4)
3 U 0.000 0.199 0.324 (multiplicity 4)
4 Cu 0.000 0.439 0.764 (multiplicity 4)
5 S 0.000 0.050 0.376 (multiplicity 4)
6 S 0.000 0.297 0.002 (multiplicity 4)
7 S 0.000 0.327 0.651 (multiplicity 4)
8 S 0.000 0.360 0.321 (multiplicity 4)
9 S 0.000 0.494 0.093 (multiplicity 4)

* total magnetic moment: 11.0 Bohr magnetons per cell
* total energy: -6.50 eV/atom
* uncorrected formation energy: -143.24 kJ/mol of atoms